The following is a PBE+U calculation of an optimized crystal structure of SrMoWF2, from Alexandria via LeMat-Bulk.

a = 4.4695 Å, b = 5.7954 Å, c = 4.4695 Å
α = 90.00°, β = 90.00°, γ = 90.00°
Closest atoms and distances in Å follow each position.
Atoms (fractional coordinates):
Sr: 0.5000 0.5000 0.5000  4 W 3.16
Mo: 0.0000 0.0000 0.0000  4 F 2.23
W: 0.0000 0.5000 0.0000  2 Mo 2.90, 4 Sr 3.16
F: 0.0000 0.0000 0.5000  2 Mo 2.23
F: 0.5000 0.0000 0.0000  2 Mo 2.23

For the total energy, the calculation gives -22.447 eV per cell. As for the space-group type: P4/mmm (123). The value obtained for the total magnetization is 1.290 μB per formula unit.